Entry 1:
This record from the Alexandria database describes Na5B7C3 after structural relaxation. The functional is PBE.

Summary:
Volume ... 10.37 Å³ per atom
Size of the total moment ... 0.00 Bohr magnetons per cell
Density ... 2.4 g cm⁻³
Relative energy among the computed polymorphs ... 14 meV/atom
Energy of formation ... 0.127 eV per atom
DOS(E_F) ... 0.421 states/eV/atom
Total energy ... -316.4 eV/cell

a = 17.829 Å, b = 2.849 Å, c = 13.328 Å
α = 90.00°, β = 113.14°, γ = 90.00°
Space group C2/m (No. 12)
Unique sites:
Na (0.000, 0.000, 0.000) (multiplicity 2)
Na (0.000, 0.000, 0.500) (multiplicity 2)
Na (0.101, 0.500, 0.198) (multiplicity 4)
Na (0.101, 0.500, 0.701) (multiplicity 4)
Na (0.199, 0.000, 0.400) (multiplicity 4)
Na (0.202, 0.000, 0.900) (multiplicity 4)
B (0.027, 0.000, 0.303) (multiplicity 4)
B (0.066, 0.500, 0.384) (multiplicity 4)
B (0.067, 0.500, 0.884) (multiplicity 4)
B (0.136, 0.500, 0.522) (multiplicity 4)
B (0.161, 0.000, 0.072) (multiplicity 4)
B (0.230, 0.000, 0.710) (multiplicity 4)
B (0.231, 0.000, 0.211) (multiplicity 4)
C (0.035, 0.000, 0.821) (multiplicity 4)
C (0.130, 0.500, 0.011) (multiplicity 4)
C (0.168, 0.000, 0.584) (multiplicity 4)

***

Entry 2:
This record from the Alexandria database describes BaPaPtSe4 after structural relaxation. The functional is PBE.

Summary:
Volume ... 26.03 Å³ per atom
Size of the total moment ... 0.00 Bohr magnetons per cell
Density ... 8.0 g cm⁻³
DOS(E_F) ... 0.211 states/eV/atom
Total energy ... -79.9 eV/cell

a = 7.150 Å, b = 5.959 Å, c = 9.103 Å
α = 90.00°, β = 110.03°, γ = 90.00°
Space group P2_1/m (No. 11)
Unique sites:
Ba (0.239, 0.250, 0.058) (multiplicity 2)
Pa (0.275, 0.250, 0.555) (multiplicity 2)
Pt (0.245, 0.750, 0.300) (multiplicity 2)
Se (0.036, 0.511, 0.708) (multiplicity 4)
Se (0.427, 0.750, 0.592) (multiplicity 2)
Se (0.454, 0.750, 0.135) (multiplicity 2)

***

Entry 3:
This record from the Alexandria database describes Li2Ac3In4Ag2 after structural relaxation. The functional is PBE.

Summary:
Volume ... 27.88 Å³ per atom
Size of the total moment ... 0.00 Bohr magnetons per cell
Density ... 7.4 g cm⁻³
Energy of formation ... -0.276 eV per atom
DOS(E_F) ... 0.796 states/eV/atom
Total energy ... -35.8 eV/cell

a = 5.0018 Å, b = 5.0018 Å, c = 14.1538 Å
α = 90.00°, β = 90.00°, γ = 120.00°
Space group P-3m1 (No. 164)
Unique sites:
Li (0.3333, 0.6667, 0.1258) (multiplicity 2)
Ac (0.0000, 0.0000, 0.2131) (multiplicity 2)
Ac (0.0000, 0.0000, 0.5000) (multiplicity 1)
In (0.3333, 0.6667, 0.3440) (multiplicity 2)
In (0.3333, 0.6667, 0.9384) (multiplicity 2)
Ag (0.3333, 0.6667, 0.6411) (multiplicity 2)

***

Entry 4:
This record from the Alexandria database describes CsCuOs2N after structural relaxation. The functional is PBE.

Summary:
Volume ... 21.90 Å³ per atom
Size of the total moment ... 4.48 Bohr magnetons per cell
Density ... 9.0 g cm⁻³
DOS(E_F) ... 0.830 states/eV/atom
Total energy ... -16.4 eV/cell

a = 5.062 Å, b = 5.062 Å, c = 4.272 Å
α = 90.00°, β = 90.00°, γ = 90.00°
Space group P4/mmm (No. 123)
Unique sites:
Cs (0.000, 0.000, 0.000) (multiplicity 1)
Cu (0.500, 0.500, 0.500) (multiplicity 1)
Os (0.000, 0.500, 0.000) (multiplicity 2)
N (0.000, 0.000, 0.500) (multiplicity 1)

***

Entry 5:
This record from the Alexandria database describes KMo3 after structural relaxation. The functional is PBE.

Summary:
Volume ... 18.49 Å³ per atom
Size of the total moment ... 0.00 Bohr magnetons per cell
Density ... 7.3 g cm⁻³
Relative energy among the computed polymorphs ... 869 meV/atom
Energy of formation ... 1.607 eV per atom
DOS(E_F) ... 1.053 states/eV/atom
Total energy ... -27.2 eV/cell

a = 5.292 Å, b = 5.292 Å, c = 2.641 Å
α = 90.00°, β = 90.00°, γ = 90.00°
Space group P4/mmm (No. 123)
Unique sites:
K (0.000, 0.000, 0.000) (multiplicity 1)
Mo (0.000, 0.500, 0.500) (multiplicity 2)
Mo (0.500, 0.500, 0.000) (multiplicity 1)

***

Entry 6:
This record from the Alexandria database describes AcAgHgPt after structural relaxation. The functional is PBE.

Summary:
Volume ... 24.36 Å³ per atom
Size of the total moment ... 0.00 Bohr magnetons per cell
Density ... 12.4 g cm⁻³
Energy of formation ... -0.449 eV per atom
DOS(E_F) ... 0.316 states/eV/atom
Total energy ... -60.4 eV/cell

a = 7.305 Å, b = 7.305 Å, c = 7.305 Å
α = 90.00°, β = 90.00°, γ = 90.00°
Space group F-43m (No. 216)
Unique sites:
Ac (0.000, 0.000, 0.000) (multiplicity 4)
Ag (0.250, 0.250, 0.750) (multiplicity 4)
Hg (0.000, 0.000, 0.500) (multiplicity 4)
Pt (0.250, 0.250, 0.250) (multiplicity 4)

***

Entry 7:
This record from the Alexandria database describes Sm3GePCl after structural relaxation. The functional is PBE.

Summary:
Volume ... 27.65 Å³ per atom
Size of the total moment ... 0.00 Bohr magnetons per cell
Density ... 5.9 g cm⁻³
DOS(E_F) ... 0.428 states/eV/atom
Total energy ... -65.9 eV/cell

a = 8.362 Å, b = 4.061 Å, c = 10.028 Å
α = 90.00°, β = 102.98°, γ = 90.00°
Space group P2_1/m (No. 11)
Unique sites:
Sm (0.061, 0.250, 0.346) (multiplicity 2)
Sm (0.263, 0.250, 0.056) (multiplicity 2)
Sm (0.398, 0.750, 0.620) (multiplicity 2)
Ge (0.319, 0.750, 0.290) (multiplicity 2)
P (0.167, 0.250, 0.629) (multiplicity 2)
Cl (0.373, 0.750, 0.904) (multiplicity 2)

***

Entry 8:
This record from the Alexandria database describes CaEuCuAs after structural relaxation. The functional is PBE.

Summary:
Volume ... 23.87 Å³ per atom
Size of the total moment ... 28.02 Bohr magnetons per cell
Density ... 5.7 g cm⁻³
Energy of formation ... -0.642 eV per atom
DOS(E_F) ... 0.146 states/eV/atom
Total energy ... -94.4 eV/cell

a = 7.256 Å, b = 7.256 Å, c = 7.256 Å
α = 90.00°, β = 90.00°, γ = 90.00°
Space group F-43m (No. 216)
Unique sites:
Ca (0.000, 0.000, 0.000) (multiplicity 4)
Eu (0.000, 0.000, 0.500) (multiplicity 4)
Cu (0.250, 0.250, 0.250) (multiplicity 4)
As (0.250, 0.250, 0.750) (multiplicity 4)